# 1
Entry from the Alexandria database: a relaxed structure of K3Se4S (PBE-GGA).

Total moment ... 0.00 μB per cell
Crystal system ... monoclinic
ΔE_f (raw) ... -0.678 eV/atom

Lattice parameters (Å, degrees): 22.9519 4.6361 4.8065 90.00 92.63 90.00
Last column: nearest neighbours and their distance in Å.
Space group C2/m (No. 12)
One atom of each set of equivalent atoms:
K 0.0000 0.0000 0.0000  4 S 3.34, 4 Se 3.45
K 0.1752 0.0000 0.9361  7 Se 3.33-3.55
Se 0.0965 0.5000 0.2875  1 Se 2.42, 1 S 2.48
Se 0.1975 0.5000 0.4559  1 Se 2.42
S 0.0000 0.5000 0.5000  2 Se 2.48


# 2
Entry from the Alexandria database: a relaxed structure of K2SeS8 (PBE-GGA).

Total moment ... 0.00 μB per cell
Crystal system ... triclinic
ΔE_f (raw) ... -0.328 eV/atom

Lattice parameters (Å, degrees): 5.3919 6.1675 10.3143 105.81 97.38 94.64
Last column: nearest neighbours and their distance in Å.
Space group P-1 (No. 2)
One atom of each set of equivalent atoms:
K 0.0585 0.4092 0.2682  6 S 3.22-3.53
Se 0.5000 0.0000 0.5000  4 S 2.55-2.56
S 0.2593 0.9212 0.2592  1 S 2.08
S 0.3945 0.4095 0.5502  1 S 2.08
S 0.4260 0.1062 0.8382  2 S 2.01-2.08
S 0.4851 0.6645 0.9769  2 S 2.01-2.22